Entry from Alexandria via LeMat-Bulk: a relaxed structure of FeSeNO2 (GGA+U).

Properties
Its symmetry is No. 123. The value obtained for the total energy is -5.052 eV/atom.

a = 3.8322 Å, b = 3.8322 Å, c = 3.8927 Å
α = 90.00°, β = 90.00°, γ = 90.00°
Last column: nearest neighbours and their distance in Å.
Element x y z (fractional)
Fe 0.0000 0.0000 0.0000  4 N 2.71, 8 O 2.73
Se 0.5000 0.5000 0.5000  4 O 1.92, 2 N 1.95
N 0.5000 0.5000 0.0000  2 Se 1.95
O 0.0000 0.5000 0.5000  2 Se 1.92
O 0.5000 0.0000 0.5000  2 Se 1.92